No. 1
Here is an optimized crystal structure of CaCdRh from Alexandria. Energies are from GGA-PBE.

Output
- Size of the total moment: 0.00 μB per formula unit
- SG: No. 187
- Energy of formation from the pure elements: -0.80 eV/f.u.

a b c (Å): 4.6884 4.6884 3.4807
angles (deg): 90.00 90.00 120.00
Atoms (fractional coordinates):
1 Ca 0.0000 0.0000 0.0000
2 Cd 0.6667 0.3333 0.5000
3 Rh 0.3333 0.6667 0.5000

No. 2
Here is an optimized crystal structure of Ca2CdRh from Alexandria. Energies are from GGA-PBE.

Output
- Size of the total moment: 0.00 μB per formula unit
- SG: No. 160
- Energy of formation from the pure elements: -0.94 eV/f.u.

a b c (Å): 4.7613 4.7613 16.1981
angles (deg): 90.00 90.00 120.00
Atoms (fractional coordinates):
1 Ca 0.0000 0.0000 0.0000
2 Ca 0.0000 0.0000 0.2030
3 Ca 0.3333 0.6667 0.6667
4 Ca 0.3333 0.6667 0.8697
5 Ca 0.6667 0.3333 0.3333
6 Ca 0.6667 0.3333 0.5363
7 Cd 0.0000 0.0000 0.7688
8 Cd 0.3333 0.6667 0.4355
9 Cd 0.6667 0.3333 0.1021
10 Rh 0.0000 0.0000 0.4102
11 Rh 0.3333 0.6667 0.0769
12 Rh 0.6667 0.3333 0.7436

No. 3
Here is an optimized crystal structure of CaCdRh from Alexandria. Energies are from GGA-PBE.

Output
- Size of the total moment: 0.00 μB per formula unit
- SG: No. 216
- Energy of formation from the pure elements: -0.63 eV/f.u.

a b c (Å): 6.6148 6.6148 6.6148
angles (deg): 90.00 90.00 90.00
Atoms (fractional coordinates):
1 Ca 0.0000 0.0000 0.0000
2 Ca 0.0000 0.5000 0.5000
3 Ca 0.5000 0.0000 0.5000
4 Ca 0.5000 0.5000 0.0000
5 Cd 0.0000 0.0000 0.5000
6 Cd 0.0000 0.5000 0.0000
7 Cd 0.5000 0.0000 0.0000
8 Cd 0.5000 0.5000 0.5000
9 Rh 0.2500 0.2500 0.7500
10 Rh 0.2500 0.7500 0.2500
11 Rh 0.7500 0.2500 0.2500
12 Rh 0.7500 0.7500 0.7500

No. 4
Here is an optimized crystal structure of CaCd3Rh from Alexandria. Energies are from GGA-PBE.

Output
- Size of the total moment: 0.00 μB per formula unit
- SG: No. 119
- Energy of formation from the pure elements: -0.84 eV/f.u.
- Polymorph energy (0 for the lowest one): 66 meV per atom

a b c (Å): 10.1296 10.1296 10.1296
angles (deg): 148.49 148.49 45.17
Atoms (fractional coordinates):
1 Ca 0.2082 0.2082 0.0000
2 Ca 0.7918 0.7918 0.0000
3 Cd 0.3739 0.6235 0.7505
4 Cd 0.3765 0.1270 0.7505
5 Cd 0.3765 0.6261 0.2495
6 Cd 0.5289 0.0289 0.5000
7 Cd 0.8730 0.6235 0.2495
8 Cd 0.9711 0.4711 0.5000
9 Rh 0.2500 0.7500 0.5000
10 Rh 0.5000 0.5000 0.0000

No. 5
Here is an optimized crystal structure of CaCdRh2 from Alexandria. Energies are from GGA-PBE.

Output
- Size of the total moment: 0.00 μB per formula unit
- SG: No. 8
- Energy of formation from the pure elements: -0.81 eV/f.u.

a b c (Å): 10.5813 3.0353 4.9067
angles (deg): 90.00 111.05 90.00
Atoms (fractional coordinates):
1 Ca 0.0000 0.0000 0.0000
2 Ca 0.5000 0.5000 0.0000
3 Cd 0.2154 0.0000 0.6259
4 Cd 0.7154 0.5000 0.6259
5 Rh 0.2611 0.5000 0.1517
6 Rh 0.4659 0.0000 0.4879
7 Rh 0.7611 0.0000 0.1517
8 Rh 0.9659 0.5000 0.4879

No. 6
Here is an optimized crystal structure of CaCd3Rh from Alexandria. Energies are from GGA-PBE.

Output
- Size of the total moment: 0.00 μB per formula unit
- SG: No. 221
- Energy of formation from the pure elements: 6.36 eV/f.u.
- Polymorph energy (0 for the lowest one): 1506 meV per atom

a b c (Å): 5.6197 5.6197 5.6197
angles (deg): 90.00 90.00 90.00
Atoms (fractional coordinates):
1 Ca 0.0000 0.0000 0.0000
2 Cd 0.0000 0.0000 0.5000
3 Cd 0.0000 0.5000 0.0000
4 Cd 0.5000 0.0000 0.0000
5 Rh 0.5000 0.5000 0.5000

No. 7
Here is an optimized crystal structure of CaCdRh from Alexandria. Energies are from GGA-PBE.

Output
- Size of the total moment: 0.00 μB per formula unit
- SG: No. 107
- Energy of formation from the pure elements: -0.82 eV/f.u.

a b c (Å): 3.4148 3.4148 11.0508
angles (deg): 90.00 90.00 90.00
Atoms (fractional coordinates):
1 Ca 0.0000 0.0000 0.0000
2 Ca 0.5000 0.5000 0.5000
3 Cd 0.0000 0.0000 0.2877
4 Cd 0.5000 0.5000 0.7877
5 Rh 0.0000 0.0000 0.6576
6 Rh 0.5000 0.5000 0.1576

No. 8
Here is an optimized crystal structure of Ca2CdRh from Alexandria. Energies are from GGA-PBE.

Output
- Size of the total moment: 0.00 μB per formula unit
- SG: No. 123
- Energy of formation from the pure elements: -1.09 eV/f.u.

a b c (Å): 4.9591 4.9591 3.8497
angles (deg): 90.00 90.00 90.00
Atoms (fractional coordinates):
1 Ca 0.0000 0.5000 0.0000
2 Ca 0.5000 0.0000 0.0000
3 Cd 0.0000 0.0000 0.5000
4 Rh 0.5000 0.5000 0.5000